## Cs2LiNdBr6 (meta-GGA SCAN)

Data for a crystal of Cs2LiNdBr6 relaxed with PBEsol.

Results
- Crystal system: cubic
- Uncorrected formation energy: -2.0373 eV per atom

Cell lengths 11.071, 11.071, 11.071 Å; angles 90.00, 90.00, 90.00 degrees
Space group Fm-3m (No. 225)
Asymmetric unit:
Cs (0.250, 0.250, 0.250)
Li (0.000, 0.000, 0.000)
Nd (0.000, 0.000, 0.500)
Br (0.000, 0.000, 0.243)